1.
Below is a geometry-optimized CdBiPtRh structure, with properties calculated at the PBE-GGA level.

Results
**Formation energy**: -0.065 eV per atom
**Symmetry**: F-43m
**Magnetization**: 0.1 μB per formula unit

Unit cell a=4.7520 b=4.7520 c=4.7520 alpha=60.00 beta=60.00 gamma=60.00
With the nearest neighbours (Å) after each atom.
Positions (direct):
Bi 0.2500 0.2500 0.2500  4 Rh 2.91, 4 Pt 2.91
Rh 0.5000 0.5000 0.5000  4 Cd 2.91, 4 Bi 2.91
Cd 0.7500 0.7500 0.7500  4 Rh 2.91, 4 Pt 2.91
Pt 0.0000 0.0000 0.0000  4 Cd 2.91, 4 Bi 2.91



2.
Below is a geometry-optimized CdBi2Sb2Pt7 structure, with properties calculated at the PBE-GGA level.

Results
**ΔE_f (raw)**: -0.304 eV/atom
**Symmetry**: I4/mmm
**Magnetization**: 0.0 μB per formula unit

Unit cell a=4.0279 b=4.0279 c=16.3469 alpha=82.93 beta=82.93 gamma=89.98
With the nearest neighbours (Å) after each atom.
Positions (direct):
Bi 0.7864 0.7864 0.4262  5 Pt 2.81-2.88
Pt 0.9345 0.4342 0.1299  2 Sb 2.64, 6 Pt 2.85-2.91, 2 Cd 2.90-2.91
Sb 0.6186 0.6186 0.7638  5 Pt 2.63-2.64
Sb 0.3814 0.3814 0.2362  5 Pt 2.63-2.64
Pt 0.4342 0.9345 0.1299  2 Sb 2.64, 6 Pt 2.85-2.91, 2 Cd 2.90-2.91
Pt 0.0655 0.5658 0.8701  2 Sb 2.64, 6 Pt 2.85-2.91, 2 Cd 2.90-2.91
Pt 0.5658 0.0655 0.8701  2 Sb 2.64, 6 Pt 2.85-2.91, 2 Cd 2.90-2.91
Cd 0.0000 0.0000 0.0000  12 Pt 2.85-2.91
Pt 0.6998 0.6998 0.6007  1 Sb 2.63, 5 Bi 2.81-2.88
Bi 0.2136 0.2136 0.5738  5 Pt 2.81-2.88
Pt 0.5000 0.5000 0.0000  4 Cd 2.85, 8 Pt 2.90-2.91
Pt 0.3002 0.3002 0.3993  1 Sb 2.63, 5 Bi 2.81-2.88



3.
Below is a geometry-optimized Cd2BiPtSe structure, with properties calculated at the PBE-GGA level.

Results
**ΔE_f (raw)**: 0.676 eV/atom
**Symmetry**: P4/mmm
**Magnetization**: 0.0 μB per formula unit

Unit cell a=5.0837 b=5.6652 c=5.0837 alpha=90.00 beta=90.00 gamma=90.00
With the nearest neighbours (Å) after each atom.
Positions (direct):
Pt 0.5000 0.5000 0.5000  4 Bi 3.59, 8 Cd 3.81
Cd 0.0000 0.0000 0.5000  2 Se 2.54
Se 0.0000 0.0000 0.0000  4 Cd 2.54, 2 Bi 2.83
Bi 0.0000 0.5000 0.0000  2 Se 2.83
Cd 0.5000 0.0000 0.0000  2 Se 2.54



4.
Below is a geometry-optimized Sr2CdBi3Pt4 structure, with properties calculated at the PBE-GGA level.

Results
**Formation energy**: -0.561 eV per atom
**Symmetry**: P-4m2
**Magnetization**: 0.0 μB per formula unit

Unit cell a=4.8838 b=4.8838 c=10.7696 alpha=90.00 beta=90.00 gamma=90.00
With the nearest neighbours (Å) after each atom.
Positions (direct):
Pt 0.0000 0.5000 0.3770  3 Bi 2.72-2.78, 2 Cd 2.78
Sr 0.5000 0.0000 0.2395  8 Pt 3.55-3.76, 7 Bi 3.67-3.92, 2 Cd 3.72
Pt 0.5000 0.0000 0.6230  3 Bi 2.72-2.78, 2 Cd 2.78
Cd 0.5000 0.5000 0.5000  4 Pt 2.78
Bi 0.0000 0.0000 0.5000  4 Pt 2.78
Pt 0.5000 0.5000 0.0000  4 Bi 2.79
Sr 0.0000 0.5000 0.7605  8 Pt 3.55-3.76, 7 Bi 3.67-3.92, 2 Cd 3.72
Bi 0.0000 0.5000 0.1248  5 Pt 2.72-2.79
Pt 0.0000 0.0000 0.0000  4 Bi 2.79
Bi 0.5000 0.0000 0.8752  5 Pt 2.72-2.79